# 1
Density functional theory data (PBE) for CsPu2S3 after structural relaxation.

Calculated values
Raw formation energy   -1469 meV/atom
N(E_F)   37.16 states/eV per cell
Space group   Pmc2_1, No. 26

abc: 3.986 7.122 12.797
angles: 90.00 90.00 90.00
Site moments in Bohr magnetons follow the coordinates.
Fractional coordinates of all 12 atoms:
Cs  0.000  0.539  0.106  0.01
Cs  0.000  0.039  0.894  0.01
S  0.000  0.736  0.575  -0.12
S  0.500  0.129  0.121  -0.09
S  0.000  0.236  0.425  -0.12
S  0.500  0.282  0.670  -0.11
S  0.500  0.782  0.330  -0.11
S  0.500  0.629  0.879  -0.09
Pu  0.500  0.999  0.519  5.43
Pu  0.500  0.499  0.481  5.43
Pu  0.000  0.517  0.748  5.27
Pu  0.000  0.017  0.252  5.27


# 2
Density functional theory data (PBE) for CsPu4S6 after structural relaxation.

Calculated values
Raw formation energy   -1562 meV/atom
N(E_F)   85.33 states/eV per cell
Distance to the lowest polymorph of the same formula   0.000 eV/atom
Space group   Cmcm, No. 63

abc: 4.043 7.041 21.310
angles: 90.00 90.00 106.68
Site moments in Bohr magnetons follow the coordinates.
Fractional coordinates of all 22 atoms:
Pu  0.402  0.804  0.129  5.03
Pu  0.598  0.196  0.871  5.03
Pu  0.865  0.731  0.961  -5.15
Pu  0.865  0.731  0.539  -5.15
Pu  0.135  0.269  0.039  -5.15
Pu  0.135  0.269  0.461  -5.15
Pu  0.598  0.196  0.629  5.03
Pu  0.402  0.804  0.371  5.03
S  0.970  0.940  0.854  -0.04
S  0.767  0.534  0.078  0.04
S  0.361  0.722  0.250  -0.13
S  0.639  0.278  0.750  -0.13
S  0.970  0.940  0.646  -0.04
S  0.030  0.060  0.354  -0.04
S  0.233  0.466  0.578  0.04
S  0.500  0.000  0.500  0.06
S  0.500  0.000  0.000  0.06
S  0.767  0.534  0.422  0.04
S  0.030  0.060  0.146  -0.04
S  0.233  0.466  0.922  0.04
Cs  0.658  0.315  0.250  0.00
Cs  0.342  0.685  0.750  0.00


# 3
Density functional theory data (PBE) for Cs2Pu3S6 after structural relaxation.

Calculated values
Raw formation energy   -1589 meV/atom
N(E_F)   26.16 states/eV per cell
Space group   C2/m, No. 12

abc: 7.060 7.060 8.520
angles: 82.07 73.98 60.00
Site moments in Bohr magnetons follow the coordinates.
Fractional coordinates of all 11 atoms:
Pu  0.666  0.668  0.000  4.88
Pu  0.000  0.000  0.000  4.88
Pu  0.334  0.332  0.000  4.88
S  0.391  0.665  0.827  -0.13
S  0.726  0.000  0.827  -0.13
S  0.274  0.000  0.173  -0.13
S  0.056  0.335  0.827  -0.13
S  0.944  0.665  0.173  -0.13
S  0.609  0.335  0.173  -0.13
Cs  0.167  0.667  0.500  0.00
Cs  0.833  0.333  0.500  0.00


Magnetization? In order: 1.833; 0.045; 1.273 μB/atom.